Record 1
DFT (GGA-PBE) results for crystalline Y4PN2 at its relaxed geometry.

a = 6.7713 Å, b = 6.7713 Å, c = 6.7713 Å
α = 134.08°, β = 134.08°, γ = 66.96°
Closest atoms and distances in Å follow each position.
Positions (direct):
Y 0.0000 0.5000 0.5000  2 P 2.64, 4 N 2.72
Y 0.2488 0.2488 0.0000  1 N 2.14
Y 0.5000 0.0000 0.5000  2 P 2.64, 4 N 2.72
Y 0.7512 0.7512 0.0000  1 N 2.14
P 0.5000 0.5000 0.0000  6 Y 2.64-2.84
N 0.0590 0.0590 0.0000  1 N 1.33
N 0.9410 0.9410 0.0000  1 N 1.33

Formation energy without anion corrections   -6.03 eV per formula unit
D(E_F)   3.2 states/eV/cell
SG   I4/mmm (139)
Final energy   -7.706 eV/atom
Density   4.37 g cm⁻³

=====

Record 2
DFT (GGA-PBE) results for crystalline Y12P3N5 at its relaxed geometry.

a = 13.0615 Å, b = 13.0615 Å, c = 13.0615 Å
α = 109.47°, β = 109.47°, γ = 109.47°
Closest atoms and distances in Å follow each position.
Positions (direct):
Y 0.0227 0.2055 0.1183  2 N 2.21-2.47
Y 0.0227 0.3172 0.9044  2 N 2.21-2.47
Y 0.0872 0.7055 0.6828  2 N 2.21-2.47
Y 0.0872 0.8817 0.4044  2 N 2.21-2.47
Y 0.0956 0.6183 0.4128  2 N 2.21-2.47
Y 0.0956 0.9773 0.6828  2 N 2.21-2.47
Y 0.1183 0.0227 0.2055  2 N 2.21-2.47
Y 0.1183 0.5956 0.9128  2 N 2.21-2.47
Y 0.1828 0.2055 0.5872  2 N 2.21-2.47
Y 0.1828 0.4773 0.5956  2 N 2.21-2.47
Y 0.2055 0.1183 0.0227  2 N 2.21-2.47
Y 0.2055 0.5872 0.1828  2 N 2.21-2.47
Y 0.2945 0.3172 0.9128  2 N 2.21-2.47
Y 0.2945 0.4773 0.3817  2 N 2.21-2.47
Y 0.3172 0.9044 0.0227  2 N 2.21-2.47
Y 0.3172 0.9128 0.2945  2 N 2.21-2.47
Y 0.3817 0.2945 0.4773  2 N 2.21-2.47
Y 0.3817 0.5872 0.9044  2 N 2.21-2.47
Y 0.4044 0.0872 0.8817  2 N 2.21-2.47
Y 0.4044 0.8172 0.5227  2 N 2.21-2.47
Y 0.4128 0.0956 0.6183  2 N 2.21-2.47
Y 0.4128 0.8172 0.7945  2 N 2.21-2.47
Y 0.4773 0.3817 0.2945  2 N 2.21-2.47
Y 0.4773 0.5956 0.1828  2 N 2.21-2.47
Y 0.5227 0.4044 0.8172  2 N 2.21-2.47
Y 0.5227 0.6183 0.7055  2 N 2.21-2.47
Y 0.5872 0.1828 0.2055  2 N 2.21-2.47
Y 0.5872 0.9044 0.3817  2 N 2.21-2.47
Y 0.5956 0.1828 0.4773  2 N 2.21-2.47
Y 0.5956 0.9128 0.1183  2 N 2.21-2.47
Y 0.6183 0.4128 0.0956  2 N 2.21-2.47
Y 0.6183 0.7055 0.5227  2 N 2.21-2.47
Y 0.6828 0.0872 0.7055  2 N 2.21-2.47
Y 0.6828 0.0956 0.9773  2 N 2.21-2.47
Y 0.7055 0.5227 0.6183  2 N 2.21-2.47
Y 0.7055 0.6828 0.0872  2 N 2.21-2.47
Y 0.7945 0.4128 0.8172  2 N 2.21-2.47
Y 0.7945 0.8817 0.9773  2 N 2.21-2.47
Y 0.8172 0.5227 0.4044  2 N 2.21-2.47
Y 0.8172 0.7945 0.4128  2 N 2.21-2.47
Y 0.8817 0.4044 0.0872  2 N 2.21-2.47
Y 0.8817 0.9773 0.7945  2 N 2.21-2.47
Y 0.9044 0.0227 0.3172  2 N 2.21-2.47
Y 0.9044 0.3817 0.5872  2 N 2.21-2.47
Y 0.9128 0.1183 0.5956  2 N 2.21-2.47
Y 0.9128 0.2945 0.3172  2 N 2.21-2.47
Y 0.9773 0.6828 0.0956  2 N 2.21-2.47
Y 0.9773 0.7945 0.8817  2 N 2.21-2.47
P 0.1250 0.2500 0.3750  8 Y 2.93-3.01
P 0.1250 0.3750 0.7500  8 Y 2.93-3.01
P 0.2500 0.3750 0.1250  8 Y 2.93-3.01
P 0.2500 0.8750 0.6250  8 Y 2.93-3.01
P 0.3750 0.1250 0.2500  8 Y 2.93-3.01
P 0.3750 0.7500 0.1250  8 Y 2.93-3.01
P 0.6250 0.2500 0.8750  8 Y 2.93-3.01
P 0.6250 0.8750 0.7500  8 Y 2.93-3.01
P 0.7500 0.1250 0.3750  8 Y 2.93-3.01
P 0.7500 0.6250 0.8750  8 Y 2.93-3.01
P 0.8750 0.6250 0.2500  8 Y 2.93-3.01
P 0.8750 0.7500 0.6250  8 Y 2.93-3.01
N 0.0000 0.0000 0.0000  6 Y 2.47
N 0.0000 0.0000 0.5000  6 Y 2.47
N 0.0000 0.5000 0.0000  6 Y 2.47
N 0.0000 0.5000 0.5000  6 Y 2.47
N 0.1250 0.7500 0.8750  4 Y 2.21
N 0.1250 0.8750 0.2500  4 Y 2.21
N 0.2500 0.1250 0.8750  4 Y 2.21
N 0.2500 0.6250 0.3750  4 Y 2.21
N 0.3750 0.2500 0.6250  4 Y 2.21
N 0.3750 0.6250 0.7500  4 Y 2.21
N 0.5000 0.0000 0.0000  6 Y 2.47
N 0.5000 0.0000 0.5000  6 Y 2.47
N 0.5000 0.5000 0.0000  6 Y 2.47
N 0.5000 0.5000 0.5000  6 Y 2.47
N 0.6250 0.3750 0.2500  4 Y 2.21
N 0.6250 0.7500 0.3750  4 Y 2.21
N 0.7500 0.3750 0.6250  4 Y 2.21
N 0.7500 0.8750 0.1250  4 Y 2.21
N 0.8750 0.1250 0.7500  4 Y 2.21
N 0.8750 0.2500 0.1250  4 Y 2.21

Formation energy without anion corrections   -22.37 eV per formula unit
D(E_F)   63.5 states/eV/cell
SG   Ia-3d (230)
Final energy   -7.890 eV/atom
Density   4.76 g cm⁻³